# Rb2CaTaTi

Crystalline Rb2CaTaTi at its relaxed geometry (PBE, Alexandria).

Properties
raw total energy	-3.3593	eV/atom
DFT formation energy	6.89	eV/f.u.
crystal system	tetragonal

a = 6.686 Å, b = 6.686 Å, c = 4.727 Å
α = 90.00°, β = 90.00°, γ = 90.00°
Atoms (fractional coordinates):
Rb 0.000 0.500 0.000
Rb 0.500 0.000 0.000
Ca 0.000 0.000 0.500
Ta 0.500 0.500 0.500
Ti 0.500 0.500 0.000